Density functional theory data (PBE) for crystalline Sr2ZnCd at its relaxed geometry.

Values from the calculation:
E_form: -71 kJ/mol of formula units
Total magnetization: 0.00 μB per cell
Uncorrected energy: -12.57 eV/cell

abc: 12.3632 3.9393 5.6482
angles: 90.00 112.79 90.00
With the nearest neighbours (Å) after each atom.
Positions (direct):
Sr  0.0000  0.0000  0.0000  3 Zn 3.47-3.71, 4 Cd 3.50-3.57, 2 Sr 3.63-3.64
Sr  0.2014  0.0000  0.6696  4 Zn 3.48-3.50, 3 Cd 3.56-3.67, 2 Sr 3.63-3.64
Sr  0.5000  0.5000  0.0000  3 Zn 3.47-3.71, 4 Cd 3.50-3.57, 2 Sr 3.63-3.64
Sr  0.7014  0.5000  0.6696  4 Zn 3.48-3.50, 3 Cd 3.56-3.67, 2 Sr 3.63-3.64
Zn  0.2505  0.5000  0.2096  2 Cd 2.86
Zn  0.7505  0.0000  0.2096  2 Cd 2.86
Cd  0.4293  0.0000  0.4322  2 Zn 2.86
Cd  0.9293  0.5000  0.4322  2 Zn 2.86